# 1
{"formula": "NaTlHgAs", "functional": "GGA-PBE", "state": "relaxed", "lattice": [[7.3534, 0.0000, 0.0000], [0.0000, 7.3534, 0.0000], [0.0000, 0.0000, 7.3534]], "species": ["Na", "Na", "Na", "Na", "Tl", "Tl", "Tl", "Tl", "Hg", "Hg", "Hg", "Hg", "As", "As", "As", "As"], "frac_coords": [[0.0000, 0.0000, 0.0000], [0.0000, 0.5000, 0.5000], [0.5000, 0.0000, 0.5000], [0.5000, 0.5000, 0.0000], [0.2500, 0.2500, 0.7500], [0.2500, 0.7500, 0.2500], [0.7500, 0.2500, 0.2500], [0.7500, 0.7500, 0.7500], [0.2500, 0.2500, 0.2500], [0.2500, 0.7500, 0.7500], [0.7500, 0.2500, 0.7500], [0.7500, 0.7500, 0.2500], [0.0000, 0.0000, 0.5000], [0.0000, 0.5000, 0.0000], [0.5000, 0.0000, 0.0000], [0.5000, 0.5000, 0.5000]], "space_group": "F-43m (216)", "e_form_ev_per_atom": -0.06}

=====

# 2
{"formula": "Ga2SiW", "functional": "GGA-PBE", "state": "relaxed", "lattice": [[7.2522, 0.0000, 0.0000], [0.0000, 7.2522, 0.0000], [0.0000, 0.0000, 5.1045]], "species": ["Ga", "Ga", "Ga", "Ga", "Ga", "Ga", "Ga", "Ga", "Si", "Si", "Si", "Si", "W", "W", "W", "W"], "frac_coords": [[0.2416, 0.7500, 0.1250], [0.2500, 0.2416, 0.8750], [0.2500, 0.2584, 0.3750], [0.2584, 0.7500, 0.6250], [0.7416, 0.2500, 0.6250], [0.7500, 0.7416, 0.3750], [0.7500, 0.7584, 0.8750], [0.7584, 0.2500, 0.1250], [0.0000, 0.0000, 0.0000], [0.0000, 0.5000, 0.2500], [0.5000, 0.0000, 0.7500], [0.5000, 0.5000, 0.5000], [0.0000, 0.0000, 0.5000], [0.0000, 0.5000, 0.7500], [0.5000, 0.0000, 0.2500], [0.5000, 0.5000, 0.0000]], "space_group": "I-42d (122)", "e_form_raw_ev_per_atom": 0.616}

=====

# 3
{"formula": "Sm2Al4Cu3Pd", "functional": "GGA-PBE", "state": "relaxed", "lattice": [[4.2025, 0.0000, 0.0000], [0.0000, 4.2025, 0.0000], [0.0000, 0.0000, 10.3168]], "species": ["Sm", "Sm", "Al", "Al", "Al", "Al", "Cu", "Cu", "Cu", "Pd"], "frac_coords": [[0.0000, 0.5000, 0.2483], [0.5000, 0.0000, 0.7517], [0.0000, 0.0000, 0.0000], [0.0000, 0.5000, 0.6306], [0.5000, 0.0000, 0.3694], [0.5000, 0.5000, 0.0000], [0.0000, 0.5000, 0.8674], [0.5000, 0.0000, 0.1326], [0.5000, 0.5000, 0.5000], [0.0000, 0.0000, 0.5000]], "space_group": "P-4m2 (115)", "e_form_ev_per_atom": -0.52}

=====

# 4
{"formula": "Dy2TiS6", "functional": "GGA-PBE", "state": "relaxed", "lattice": [[6.4805, 0.0000, 0.0000], [0.0000, 7.0504, 0.0000], [-5.5113, 0.0000, 8.2130]], "species": ["Dy", "Dy", "Dy", "Dy", "Ti", "Ti", "S", "S", "S", "S", "S", "S", "S", "S", "S", "S", "S", "S"], "frac_coords": [[0.2029, 0.1276, 0.2312], [0.2029, 0.3724, 0.7312], [0.7971, 0.6276, 0.2688], [0.7971, 0.8724, 0.7688], [0.5000, 0.0000, 0.0000], [0.5000, 0.5000, 0.5000], [0.1189, 0.1634, 0.9264], [0.1189, 0.3366, 0.4264], [0.2959, 0.6880, 0.9644], [0.2959, 0.8120, 0.4644], [0.3709, 0.0083, 0.7217], [0.3709, 0.4917, 0.2217], [0.6291, 0.5083, 0.7783], [0.6291, 0.9917, 0.2783], [0.7041, 0.1880, 0.5356], [0.7041, 0.3120, 0.0356], [0.8811, 0.6634, 0.5736], [0.8811, 0.8366, 0.0736]], "space_group": "P2_1/c (14)", "e_form_raw_ev_per_atom": -1.397}

=====

# 5
{"formula": "AcDyYEr", "functional": "GGA-PBE", "state": "relaxed", "lattice": [[8.2339, 0.0000, 0.0000], [0.0000, 8.2339, 0.0000], [0.0000, 0.0000, 8.2339]], "species": ["Ac", "Ac", "Ac", "Ac", "Dy", "Dy", "Dy", "Dy", "Y", "Y", "Y", "Y", "Er", "Er", "Er", "Er"], "frac_coords": [[0.0000, 0.0000, 0.0000], [0.0000, 0.5000, 0.5000], [0.5000, 0.0000, 0.5000], [0.5000, 0.5000, 0.0000], [0.0000, 0.0000, 0.5000], [0.0000, 0.5000, 0.0000], [0.5000, 0.0000, 0.0000], [0.5000, 0.5000, 0.5000], [0.2500, 0.2500, 0.2500], [0.2500, 0.7500, 0.7500], [0.7500, 0.2500, 0.7500], [0.7500, 0.7500, 0.2500], [0.2500, 0.2500, 0.7500], [0.2500, 0.7500, 0.2500], [0.7500, 0.2500, 0.2500], [0.7500, 0.7500, 0.7500]], "space_group": "F-43m (216)", "e_form_ev_per_atom": 0.12, "de_polymorph_mev_per_atom": 57}

=====

# 6
{"formula": "AlP2", "functional": "GGA-PBE", "state": "relaxed", "lattice": [[3.1083, 0.0000, 0.0000], [0.0000, 10.4470, 0.0000], [0.0000, 0.0000, 6.0093]], "species": ["Al", "Al", "Al", "Al", "P", "P", "P", "P", "P", "P", "P", "P"], "frac_coords": [[0.0000, 0.1219, 0.0000], [0.0000, 0.8781, 0.5000], [0.5000, 0.3781, 0.5000], [0.5000, 0.6219, 0.0000], [0.0000, 0.1826, 0.5849], [0.0000, 0.4287, 0.8908], [0.0000, 0.5713, 0.3908], [0.0000, 0.8174, 0.0849], [0.5000, 0.0713, 0.3908], [0.5000, 0.3174, 0.0849], [0.5000, 0.6826, 0.5849], [0.5000, 0.9287, 0.8908]], "space_group": "Cmc2_1 (36)", "e_form_ev_per_atom": 0.01}

=====

# 7
{"formula": "SrPm2DySe4", "functional": "GGA-PBE", "state": "relaxed", "lattice": [[7.2982, 0.0000, 0.0000], [0.0000, 4.1871, 0.0000], [-2.3886, 0.0000, 6.9319]], "species": ["Sr", "Pm", "Pm", "Dy", "Se", "Se", "Se", "Se"], "frac_coords": [[0.0000, 0.0000, 0.0000], [0.0000, 0.5000, 0.5000], [0.5000, 0.0000, 0.5000], [0.5000, 0.5000, 0.0000], [0.2598, 0.0000, 0.7557], [0.2595, 0.5000, 0.2514], [0.7402, 0.0000, 0.2443], [0.7405, 0.5000, 0.7486]], "space_group": "P2/m (10)", "e_form_raw_ev_per_atom": -1.837}

=====

# 8
{"formula": "AcTmIr4", "functional": "GGA-PBE", "state": "relaxed", "lattice": [[0.0000, 3.8589, 3.8589], [3.8589, 0.0000, 3.8589], [3.8589, 3.8589, 0.0000]], "species": ["Ac", "Tm", "Ir", "Ir", "Ir", "Ir"], "frac_coords": [[0.0000, 0.0000, 0.0000], [0.2500, 0.2500, 0.2500], [0.1267, 0.6244, 0.6244], [0.6244, 0.1267, 0.6244], [0.6244, 0.6244, 0.1267], [0.6244, 0.6244, 0.6244]], "space_group": "F-43m (216)", "e_form_ev_per_atom": -0.64}

=====

# 9
{"formula": "LaCe3Rh3", "functional": "GGA-PBE", "state": "relaxed", "lattice": [[7.4895, 0.0000, 0.0000], [0.0000, 7.4895, 0.0000], [0.0000, 0.0000, 7.4895]], "species": ["La", "La", "Ce", "Ce", "Ce", "Ce", "Ce", "Ce", "Rh", "Rh", "Rh", "Rh", "Rh", "Rh"], "frac_coords": [[0.0000, 0.0000, 0.0000], [0.5000, 0.5000, 0.5000], [0.0000, 0.2500, 0.5000], [0.0000, 0.7500, 0.5000], [0.2500, 0.5000, 0.0000], [0.5000, 0.0000, 0.2500], [0.5000, 0.0000, 0.7500], [0.7500, 0.5000, 0.0000], [0.0000, 0.5000, 0.2500], [0.0000, 0.5000, 0.7500], [0.2500, 0.0000, 0.5000], [0.5000, 0.2500, 0.0000], [0.5000, 0.7500, 0.0000], [0.7500, 0.0000, 0.5000]], "space_group": "Pm-3n (223)", "e_form_ev_per_atom": -0.12}

=====

# 10
{"formula": "AcGe3Pd2", "functional": "GGA-PBE", "state": "relaxed", "lattice": [[-2.2084, 2.2084, 12.9119], [2.2084, -2.2084, 12.9119], [2.2084, 2.2084, -12.9119]], "species": ["Ac", "Ac", "Ge", "Ge", "Ge", "Ge", "Ge", "Ge", "Pd", "Pd", "Pd", "Pd"], "frac_coords": [[0.1502, 0.1502, 0.0000], [0.8498, 0.8498, 0.0000], [0.0483, 0.5483, 0.5000], [0.3015, 0.3015, 0.0000], [0.4517, 0.9517, 0.5000], [0.5483, 0.0483, 0.5000], [0.6985, 0.6985, 0.0000], [0.9517, 0.4517, 0.5000], [0.2500, 0.7500, 0.5000], [0.4019, 0.4019, 0.0000], [0.5981, 0.5981, 0.0000], [0.7500, 0.2500, 0.5000]], "space_group": "I4/mmm (139)", "e_form_ev_per_atom": -0.64, "de_polymorph_mev_per_atom": 0}

=====

# 11
{"formula": "Pm3Sm2Y7", "functional": "GGA-PBE", "state": "relaxed", "lattice": [[2.9533, -18.9114, 0.0000], [2.9533, 18.9114, 0.0000], [0.0000, 0.0000, 3.6326]], "species": ["Pm", "Pm", "Pm", "Sm", "Sm", "Y", "Y", "Y", "Y", "Y", "Y", "Y"], "frac_coords": [[0.0000, 0.0000, 0.0000], [0.1496, 0.8504, 0.0000], [0.8504, 0.1496, 0.0000], [0.3248, 0.6752, 0.5000], [0.6752, 0.3248, 0.5000], [0.0728, 0.9272, 0.5000], [0.2291, 0.7709, 0.5000], [0.4114, 0.5886, 0.0000], [0.5000, 0.5000, 0.5000], [0.5886, 0.4114, 0.0000], [0.7709, 0.2291, 0.5000], [0.9272, 0.0728, 0.5000]], "space_group": "Cmmm (65)", "e_form_ev_per_atom": 0.16, "de_polymorph_mev_per_atom": 81}

=====

# 12
{"formula": "Li2InCuF6", "functional": "GGA-PBE", "state": "relaxed", "lattice": [[0.0000, 4.2168, 4.2168], [4.2168, 0.0000, 4.2168], [4.2168, 4.2168, 0.0000]], "species": ["Li", "Li", "In", "Cu", "F", "F", "F", "F", "F", "F"], "frac_coords": [[0.2500, 0.2500, 0.2500], [0.7500, 0.7500, 0.7500], [0.0000, 0.0000, 0.0000], [0.5000, 0.5000, 0.5000], [0.2505, 0.2505, 0.7495], [0.2505, 0.7495, 0.2505], [0.2505, 0.7495, 0.7495], [0.7495, 0.2505, 0.2505], [0.7495, 0.2505, 0.7495], [0.7495, 0.7495, 0.2505]], "space_group": "Fm-3m (225)", "e_form_raw_ev_per_atom": -2.061, "de_polymorph_mev_per_atom": 293}